Density functional theory data (meta-GGA SCAN) for MnIr2Pb at its PBEsol-relaxed geometry.

```
MnIr2Pb
1.0
9.044 0.000 0.000
0.000 2.978 0.000
-0.971 0.000 4.785
Mn Ir Pb
2 4 2
Direct
0.000 0.000 0.000
0.500 0.500 0.000
0.237 0.500 0.163
0.485 0.000 0.425
0.737 0.000 0.163
0.985 0.500 0.425
0.241 0.000 0.680
0.741 0.500 0.680
```

Summary:
Energy relative to the elements: 0.254 eV per atom
Calculated total energy: -58.8042 eV/atom
Space-group type: No. 8



Density functional theory data (meta-GGA SCAN) for MnSbIr2Pb at its PBEsol-relaxed geometry.

```
MnSbIr2Pb
1.0
4.956 0.000 0.000
0.000 4.956 0.000
0.000 0.000 4.850
Mn Sb Ir Pb
1 1 2 1
Direct
0.000 0.000 0.000
0.500 0.500 0.000
0.000 0.500 0.500
0.500 0.000 0.500
0.000 0.000 0.500
```

Summary:
Calculated total energy: -53.0913 eV/atom
ΔE_f (raw): 1.608 eV per atom
Space-group type: No. 123



Density functional theory data (meta-GGA SCAN) for Mn2ZnIrPb at its PBEsol-relaxed geometry.

```
Mn2ZnIrPb
1.0
4.892 0.000 0.000
0.000 4.892 0.000
0.000 0.000 5.073
Mn Zn Ir Pb
2 1 1 1
Direct
0.000 0.500 0.000
0.500 0.000 0.000
0.000 0.000 0.500
0.500 0.500 0.000
0.500 0.500 0.500
```

Summary:
Energy relative to the elements: 0.406 eV per atom
Calculated total energy: -38.9754 eV/atom
Space-group type: No. 123



Density functional theory data (meta-GGA SCAN) for MnIr3Pd at its PBEsol-relaxed geometry.

```
MnIr3Pd
1.0
4.666 0.000 0.000
0.000 4.666 0.000
0.000 0.000 4.666
Mn Ir Pd
1 3 1
Direct
0.000 0.000 0.000
0.000 0.500 0.500
0.500 0.000 0.500
0.500 0.500 0.000
0.500 0.500 0.500
```

Summary:
Energy relative to the elements: 2.017 eV per atom
Calculated total energy: -50.8481 eV/atom
Space-group type: No. 221



Density functional theory data (meta-GGA SCAN) for MnIr2Pt at its PBEsol-relaxed geometry.

```
MnIr2Pt
1.0
2.722 0.000 0.000
0.000 4.478 0.000
0.000 0.000 9.257
Mn Ir Pt
2 4 2
Direct
0.000 0.000 0.000
0.500 0.500 0.500
0.000 0.500 0.274
0.000 0.500 0.726
0.500 0.000 0.226
0.500 0.000 0.774
0.000 0.000 0.500
0.500 0.500 0.000
```

Summary:
Energy relative to the elements: -0.126 eV per atom
Calculated total energy: -57.7874 eV/atom
Space-group type: No. 71



Density functional theory data (meta-GGA SCAN) for MnIrPt4 at its PBEsol-relaxed geometry.

```
MnIrPt4
1.0
0.000 3.627 3.627
3.627 0.000 3.627
3.627 3.627 0.000
Mn Ir Pt
1 1 4
Direct
0.000 0.000 0.000
0.750 0.750 0.750
0.375 0.375 0.375
0.375 0.375 0.874
0.375 0.874 0.375
0.874 0.375 0.375
```

Summary:
Energy relative to the elements: 0.156 eV per atom
Calculated total energy: -61.5321 eV/atom
Space-group type: No. 216



Density functional theory data (meta-GGA SCAN) for MnIr2Pt at its PBEsol-relaxed geometry.

```
MnIr2Pt
1.0
3.795 0.000 0.000
0.000 3.795 0.000
0.000 0.000 7.643
Mn Ir Pt
2 4 2
Direct
0.000 0.000 0.000
0.500 0.500 0.500
0.000 0.000 0.500
0.000 0.500 0.250
0.500 0.000 0.750
0.500 0.500 0.000
0.000 0.500 0.750
0.500 0.000 0.250
```

Summary:
Energy relative to the elements: -0.333 eV per atom
Calculated total energy: -57.9949 eV/atom
Space-group type: No. 119



Density functional theory data (meta-GGA SCAN) for RbMn2Ir at its PBEsol-relaxed geometry.

```
RbMn2Ir
1.0
6.631 0.000 0.000
0.000 6.631 0.000
0.000 0.000 6.631
Rb Mn Ir
4 8 4
Direct
0.000 0.000 0.000
0.000 0.500 0.500
0.500 0.000 0.500
0.500 0.500 0.000
0.250 0.250 0.250
0.250 0.250 0.750
0.250 0.750 0.250
0.250 0.750 0.750
0.750 0.250 0.250
0.750 0.250 0.750
0.750 0.750 0.250
0.750 0.750 0.750
0.000 0.000 0.500
0.000 0.500 0.000
0.500 0.000 0.000
0.500 0.500 0.500
```

Summary:
Energy relative to the elements: 0.773 eV per atom
Calculated total energy: -31.3137 eV/atom
Space-group type: No. 225



Density functional theory data (meta-GGA SCAN) for Rb3MnIr at its PBEsol-relaxed geometry.

```
Rb3MnIr
1.0
6.182 0.000 0.000
0.000 6.182 0.000
0.000 0.000 6.182
Rb Mn Ir
3 1 1
Direct
0.000 0.000 0.500
0.000 0.500 0.000
0.500 0.000 0.000
0.500 0.500 0.500
0.000 0.000 0.000
```

Summary:
Energy relative to the elements: 1.067 eV per atom
Calculated total energy: -29.2475 eV/atom
Space-group type: No. 221



Density functional theory data (meta-GGA SCAN) for MnRe2Ir at its PBEsol-relaxed geometry.

```
MnRe2Ir
1.0
6.080 0.000 0.000
0.000 6.080 0.000
0.000 0.000 6.080
Mn Re Ir
4 8 4
Direct
0.000 0.000 0.000
0.000 0.500 0.500
0.500 0.000 0.500
0.500 0.500 0.000
0.000 0.000 0.500
0.000 0.500 0.000
0.250 0.250 0.250
0.250 0.750 0.750
0.500 0.000 0.000
0.500 0.500 0.500
0.750 0.250 0.750
0.750 0.750 0.250
0.250 0.250 0.750
0.250 0.750 0.250
0.750 0.250 0.250
0.750 0.750 0.750
```

Summary:
Energy relative to the elements: -0.014 eV per atom
Calculated total energy: -57.9017 eV/atom
Distance to the lowest polymorph of the same formula: 74 meV per atom
Space-group type: No. 216



Density functional theory data (meta-GGA SCAN) for Mn3ReIr at its PBEsol-relaxed geometry.

```
Mn3ReIr
1.0
4.530 0.000 0.000
0.000 4.530 0.000
0.000 0.000 4.530
Mn Re Ir
3 1 1
Direct
0.000 0.000 0.500
0.000 0.500 0.000
0.500 0.000 0.000
0.500 0.500 0.500
0.000 0.000 0.000
```

Summary:
Energy relative to the elements: 1.324 eV per atom
Calculated total energy: -38.0684 eV/atom
Space-group type: No. 221



Density functional theory data (meta-GGA SCAN) for MnRe2Ir at its PBEsol-relaxed geometry.

```
MnRe2Ir
1.0
2.690 0.000 0.000
0.000 2.690 0.000
0.000 0.000 7.486
Mn Re Ir
1 2 1
Direct
0.000 0.000 0.000
0.000 0.000 0.502
0.500 0.500 0.229
0.500 0.500 0.757
```

Summary:
Energy relative to the elements: -0.088 eV per atom
Calculated total energy: -57.9753 eV/atom
Distance to the lowest polymorph of the same formula: 0 meV per atom
Space-group type: No. 99



Number 1: calculated volume 129 Å³/cell. Number 2: calculated volume 119 Å³/cell. Number 3: calculated volume 121 Å³/cell. Number 4: calculated volume 102 Å³/cell. Number 5: calculated volume 113 Å³/cell. Number 6: calculated volume 95 Å³/cell. Number 7: calculated volume 110 Å³/cell. Number 8: calculated volume 292 Å³/cell. Number 9: calculated volume 236 Å³/cell. Number 10: calculated volume 225 Å³/cell. Number 11: calculated volume 93 Å³/cell. Number 12: calculated volume 54 Å³/cell.